VASP calculation (PBE-GGA) on a geometry-optimized La4AgHg2Au structure.

abc: 5.4514 5.4514 9.4553
angles: 73.25 73.25 60.00
Closest atoms and distances in Å follow each position.
Positions (direct):
La 0.3780 0.3780 0.8661  1 Au 3.26, 4 Hg 3.28-3.31, 3 Ag 3.37
La 0.8723 0.8723 0.3832  3 Au 3.32, 4 Hg 3.38-3.40, 1 Ag 3.42
La 0.1277 0.1277 0.6168  3 Au 3.32, 4 Hg 3.38-3.40, 1 Ag 3.42
La 0.6220 0.6220 0.1339  1 Au 3.26, 4 Hg 3.28-3.31, 3 Ag 3.37
Ag 0.0000 0.0000 0.0000  8 La 3.37-3.42
Hg 0.7459 0.7459 0.7624  8 La 3.28-3.40
Hg 0.2541 0.2541 0.2376  8 La 3.28-3.40
Au 0.5000 0.5000 0.5000  8 La 3.26-3.32

Output
- Energy relative to the elements: -506 meV per atom



VASP calculation (PBE-GGA) on a geometry-optimized La4Ag2HgAu structure.

abc: 5.4264 5.4264 9.3728
angles: 73.17 73.17 60.00
Closest atoms and distances in Å follow each position.
Positions (direct):
La 0.3791 0.3791 0.8627  1 Au 3.20, 4 Ag 3.25-3.29, 3 Hg 3.36
La 0.8710 0.8710 0.3871  3 Au 3.29, 4 Ag 3.33-3.41, 1 Hg 3.42
La 0.1290 0.1290 0.6129  3 Au 3.29, 4 Ag 3.33-3.41, 1 Hg 3.42
La 0.6209 0.6209 0.1373  1 Au 3.20, 4 Ag 3.25-3.29, 3 Hg 3.36
Ag 0.7451 0.7451 0.7646  8 La 3.25-3.41
Ag 0.2549 0.2549 0.2354  8 La 3.25-3.41
Hg 0.0000 0.0000 0.0000  8 La 3.36-3.42, 6 Ag 3.76
Au 0.5000 0.5000 0.5000  8 La 3.20-3.29

Output
- Energy relative to the elements: -455 meV per atom



VASP calculation (PBE-GGA) on a geometry-optimized Li4AgHgAu2 structure.

abc: 4.5056 4.5056 7.7574
angles: 73.12 73.12 60.00
Closest atoms and distances in Å follow each position.
Positions (direct):
Li 0.3761 0.3761 0.8716  1 Ag 2.72, 4 Au 2.76-2.81, 3 Hg 2.77
Li 0.8741 0.8741 0.3778  4 Au 2.68-2.75, 3 Ag 2.75, 1 Hg 2.76
Li 0.1259 0.1259 0.6222  4 Au 2.68-2.75, 3 Ag 2.75, 1 Hg 2.76
Li 0.6239 0.6239 0.1284  1 Ag 2.72, 4 Au 2.76-2.81, 3 Hg 2.77
Ag 0.5000 0.5000 0.5000  8 Li 2.72-2.75
Hg 0.0000 0.0000 0.0000  8 Li 2.76-2.77
Au 0.7519 0.7519 0.7443  8 Li 2.68-2.81
Au 0.2481 0.2481 0.2557  8 Li 2.68-2.81

Output
- Energy relative to the elements: -428 meV per atom